[1]
Compound: TlGaPdAu2
Source: the Alexandria database
Functional: GGA-PBE
Structure: optimized geometry

a = 5.256 Å, b = 4.681 Å, c = 5.256 Å
α = 90.00°, β = 90.00°, γ = 90.00°
Fractional coordinates of all 5 atoms:
Tl 0.500 0.500 0.500
Au 0.000 0.000 0.500
Au 0.500 0.000 0.000
Ga 0.000 0.500 0.000
Pd 0.000 0.000 0.000

Total DFT energy (no corrections) ... -16.6 eV for the cell shown
DFT formation energy ... 0.6 eV per formula unit
Space-group type ... P4/mmm (123)


[2]
Compound: Tl2Ga3PdAu12
Source: the Alexandria database
Functional: GGA-PBE
Structure: optimized geometry

a = 8.124 Å, b = 8.124 Å, c = 8.124 Å
α = 63.55°, β = 63.55°, γ = 63.55°
Fractional coordinates of all 18 atoms:
Tl 0.617 0.617 0.617
Tl 0.383 0.383 0.383
Ga 0.500 0.000 0.000
Ga 0.000 0.500 0.000
Ga 0.000 0.000 0.500
Pd 0.000 0.000 0.000
Au 0.372 0.372 0.880
Au 0.861 0.861 0.384
Au 0.384 0.861 0.861
Au 0.880 0.372 0.372
Au 0.861 0.384 0.861
Au 0.372 0.880 0.372
Au 0.628 0.628 0.120
Au 0.139 0.139 0.616
Au 0.616 0.139 0.139
Au 0.120 0.628 0.628
Au 0.139 0.616 0.139
Au 0.628 0.120 0.628

Total DFT energy (no corrections) ... -56.9 eV for the cell shown
DFT formation energy ... 1.4 eV per formula unit
Space-group type ... R-3m (166)


[3]
Compound: Tm2Ga4Pd3Au
Source: the Alexandria database
Functional: GGA-PBE
Structure: optimized geometry

a = 4.040 Å, b = 4.040 Å, c = 11.442 Å
α = 90.00°, β = 90.00°, γ = 90.00°
Fractional coordinates of all 10 atoms:
Tm 0.500 0.000 0.245
Tm 0.000 0.500 0.755
Ga 0.500 0.500 0.000
Ga 0.000 0.000 0.000
Ga 0.500 0.000 0.641
Ga 0.000 0.500 0.359
Pd 0.000 0.000 0.500
Pd 0.500 0.000 0.856
Pd 0.000 0.500 0.144
Au 0.500 0.500 0.500

Total DFT energy (no corrections) ... -47.0 eV for the cell shown
DFT formation energy ... -7.1 eV per formula unit
Space-group type ... P-4m2 (115)


[4]
Compound: TmGa2Pd2Au
Source: the Alexandria database
Functional: GGA-PBE
Structure: optimized geometry

a = 4.462 Å, b = 4.462 Å, c = 6.167 Å
α = 90.00°, β = 90.00°, γ = 120.00°
Fractional coordinates of all 6 atoms:
Tm 0.000 0.000 0.500
Ga 0.333 0.667 0.219
Ga 0.667 0.333 0.781
Pd 0.333 0.667 0.774
Pd 0.667 0.333 0.226
Au 0.000 0.000 0.000

Total DFT energy (no corrections) ... -28.3 eV for the cell shown
DFT formation energy ... -4.1 eV per formula unit
Space-group type ... P-3m1 (164)


[5]
Compound: YGaPdAu
Source: the Alexandria database
Functional: GGA-PBE
Structure: optimized geometry

a = 4.780 Å, b = 4.780 Å, c = 4.780 Å
α = 60.00°, β = 60.00°, γ = 60.00°
Fractional coordinates of all 4 atoms:
Y 0.250 0.250 0.250
Au 0.000 0.000 0.000
Ga 0.750 0.750 0.750
Pd 0.500 0.500 0.500

Total DFT energy (no corrections) ... -20.8 eV for the cell shown
DFT formation energy ... -2.8 eV per formula unit
Space-group type ... F-43m (216)


[6]
Compound: Y2Ga4Pd3Au
Source: the Alexandria database
Functional: GGA-PBE
Structure: optimized geometry

a = 4.185 Å, b = 4.185 Å, c = 10.877 Å
α = 90.00°, β = 90.00°, γ = 90.00°
Fractional coordinates of all 10 atoms:
Y 0.500 0.000 0.241
Y 0.000 0.500 0.759
Ga 0.500 0.500 0.000
Ga 0.000 0.000 0.000
Ga 0.500 0.000 0.639
Ga 0.000 0.500 0.361
Pd 0.000 0.000 0.500
Pd 0.500 0.000 0.865
Pd 0.000 0.500 0.135
Au 0.500 0.500 0.500

Total DFT energy (no corrections) ... -51.4 eV for the cell shown
DFT formation energy ... -7.5 eV per formula unit
Space-group type ... P-4m2 (115)


[7]
Compound: YGa2Pd2Au
Source: the Alexandria database
Functional: GGA-PBE
Structure: optimized geometry

a = 4.749 Å, b = 4.749 Å, c = 5.645 Å
α = 90.00°, β = 90.00°, γ = 90.00°
Fractional coordinates of all 6 atoms:
Y 0.000 0.000 0.500
Ga 0.500 0.000 0.000
Ga 0.000 0.500 0.000
Pd 0.500 0.500 0.744
Pd 0.500 0.500 0.256
Au 0.000 0.000 0.000

Total DFT energy (no corrections) ... -27.6 eV for the cell shown
DFT formation energy ... -1.4 eV per formula unit
Space-group type ... P4/mmm (123)


[8]
Compound: ZnGa2Pd5Au2
Source: the Alexandria database
Functional: GGA-PBE
Structure: optimized geometry

a = 3.762 Å, b = 9.265 Å, c = 9.265 Å
α = 90.00°, β = 90.00°, γ = 90.00°
Fractional coordinates of all 20 atoms:
Zn 0.000 0.000 0.000
Zn 0.000 0.500 0.500
Ga 0.000 0.131 0.631
Ga 0.000 0.869 0.369
Ga 0.000 0.631 0.869
Ga 0.000 0.369 0.131
Pd 0.500 0.191 0.085
Pd 0.500 0.809 0.915
Pd 0.500 0.085 0.809
Pd 0.500 0.691 0.415
Pd 0.500 0.915 0.191
Pd 0.500 0.309 0.585
Pd 0.500 0.585 0.691
Pd 0.500 0.415 0.309
Pd 0.500 0.500 0.000
Pd 0.500 0.000 0.500
Au 0.000 0.667 0.167
Au 0.000 0.333 0.833
Au 0.000 0.167 0.333
Au 0.000 0.833 0.667

Total DFT energy (no corrections) ... -87.5 eV for the cell shown
DFT formation energy ... -3.9 eV per formula unit
Space-group type ... P4/mbm (127)


[9]
Compound: ZrGaPdAu
Source: the Alexandria database
Functional: GGA-PBE
Structure: optimized geometry

a = 4.645 Å, b = 4.645 Å, c = 4.645 Å
α = 60.00°, β = 60.00°, γ = 60.00°
Fractional coordinates of all 4 atoms:
Ga 0.500 0.500 0.500
Au 0.250 0.250 0.250
Zr 0.000 0.000 0.000
Pd 0.750 0.750 0.750

Total DFT energy (no corrections) ... -22.4 eV for the cell shown
DFT formation energy ... -2.3 eV per formula unit
Space-group type ... F-43m (216)


[10]
Compound: Pm2Ga4Au3
Source: the Alexandria database
Functional: GGA-PBE
Structure: optimized geometry

a = 5.989 Å, b = 7.813 Å, c = 8.371 Å
α = 90.00°, β = 110.96°, γ = 90.00°
Fractional coordinates of all 18 atoms:
Pm 0.108 0.590 0.217
Pm 0.892 0.410 0.783
Pm 0.392 0.090 0.783
Pm 0.608 0.910 0.217
Ga 0.690 0.750 0.879
Ga 0.810 0.250 0.121
Ga 0.310 0.250 0.121
Ga 0.190 0.750 0.879
Ga 0.176 0.978 0.352
Ga 0.824 0.022 0.648
Ga 0.324 0.478 0.648
Ga 0.676 0.522 0.352
Au 0.000 0.000 0.000
Au 0.500 0.500 0.000
Au 0.521 0.750 0.541
Au 0.979 0.250 0.459
Au 0.479 0.250 0.459
Au 0.021 0.750 0.541

Total DFT energy (no corrections) ... -73.6 eV for the cell shown
DFT formation energy ... -5.4 eV per formula unit
Space-group type ... Cmce (64)


[11]
Compound: PmGaAu6
Source: the Alexandria database
Functional: GGA-PBE
Structure: optimized geometry

a = 4.017 Å, b = 4.017 Å, c = 10.441 Å
α = 90.00°, β = 90.00°, γ = 90.00°
Fractional coordinates of all 8 atoms:
Pm 0.000 0.000 0.000
Ga 0.000 0.000 0.500
Au 0.500 0.000 0.673
Au 0.000 0.500 0.673
Au 0.500 0.500 0.130
Au 0.500 0.500 0.870
Au 0.000 0.500 0.327
Au 0.500 0.000 0.327

Total DFT energy (no corrections) ... -30.1 eV for the cell shown
DFT formation energy ... -2.6 eV per formula unit
Space-group type ... P4/mmm (123)


[12]
Compound: PmGa2Au7
Source: the Alexandria database
Functional: GGA-PBE
Structure: optimized geometry

a = 4.789 Å, b = 7.464 Å, c = 7.464 Å
α = 119.42°, β = 90.00°, γ = 90.00°
Fractional coordinates of all 10 atoms:
Pm 0.000 0.000 0.000
Ga 0.500 0.701 0.299
Ga 0.500 0.299 0.701
Au 0.000 0.772 0.228
Au 0.000 0.228 0.772
Au 0.500 0.069 0.302
Au 0.500 0.931 0.698
Au 0.500 0.302 0.069
Au 0.500 0.698 0.931
Au 0.500 0.500 0.500

Total DFT energy (no corrections) ... -36.1 eV for the cell shown
DFT formation energy ... -2.3 eV per formula unit
Space-group type ... Cmmm (65)


[13]
Compound: Pm2Ga5Au3
Source: the Alexandria database
Functional: GGA-PBE
Structure: optimized geometry

a = 6.176 Å, b = 8.717 Å, c = 8.717 Å
α = 76.50°, β = 69.25°, γ = 69.25°
Fractional coordinates of all 20 atoms:
Pm 0.126 0.613 0.134
Pm 0.626 0.134 0.613
Pm 0.874 0.387 0.866
Pm 0.374 0.866 0.387
Ga 0.383 0.263 0.971
Ga 0.883 0.971 0.263
Ga 0.617 0.737 0.029
Ga 0.117 0.029 0.737
Ga 0.484 0.766 0.766
Ga 0.516 0.234 0.234
Ga 0.750 0.500 0.500
Ga 0.250 0.500 0.500
Ga 0.016 0.234 0.234
Ga 0.984 0.766 0.766
Au 0.367 0.510 0.756
Au 0.867 0.756 0.510
Au 0.633 0.490 0.244
Au 0.133 0.244 0.490
Au 0.250 0.000 0.000
Au 0.750 0.000 0.000

Total DFT energy (no corrections) ... -81.6 eV for the cell shown
DFT formation energy ... -6.4 eV per formula unit
Space-group type ... Ibam (72)


[14]
Compound: PmGa4Au12
Source: the Alexandria database
Functional: GGA-PBE
Structure: optimized geometry

a = 7.791 Å, b = 7.791 Å, c = 7.791 Å
α = 109.47°, β = 109.47°, γ = 109.47°
Fractional coordinates of all 17 atoms:
Pm 0.000 0.000 0.000
Ga 0.000 0.500 0.000
Ga 0.500 0.000 0.000
Ga 0.500 0.500 0.500
Ga 0.000 0.000 0.500
Au 0.846 0.343 0.189
Au 0.343 0.497 0.154
Au 0.811 0.154 0.657
Au 0.343 0.189 0.846
Au 0.189 0.846 0.343
Au 0.657 0.503 0.846
Au 0.497 0.154 0.343
Au 0.503 0.846 0.657
Au 0.657 0.811 0.154
Au 0.846 0.657 0.503
Au 0.154 0.343 0.497
Au 0.154 0.657 0.811

Total DFT energy (no corrections) ... -57.7 eV for the cell shown
DFT formation energy ... -1.5 eV per formula unit
Space-group type ... Im-3 (204)


[15]
Compound: Pm3GaAu4
Source: the Alexandria database
Functional: GGA-PBE
Structure: optimized geometry

a = 4.044 Å, b = 7.299 Å, c = 8.122 Å
α = 116.70°, β = 104.42°, γ = 90.00°
Fractional coordinates of all 8 atoms:
Pm 0.180 0.180 0.360
Pm 0.820 0.820 0.640
Pm 0.000 0.500 0.000
Ga 0.500 0.000 0.000
Au 0.370 0.169 0.741
Au 0.630 0.831 0.259
Au 0.630 0.429 0.259
Au 0.370 0.571 0.741

Total DFT energy (no corrections) ... -35.5 eV for the cell shown
DFT formation energy ... -5.1 eV per formula unit
Space-group type ... Immm (71)


[16]
Compound: Pm4Ga2Au
Source: the Alexandria database
Functional: GGA-PBE
Structure: optimized geometry

a = 5.183 Å, b = 5.183 Å, c = 8.858 Å
α = 72.99°, β = 72.99°, γ = 60.00°
Fractional coordinates of all 7 atoms:
Au 0.000 0.000 0.000
Ga 0.752 0.752 0.744
Ga 0.248 0.248 0.256
Pm 0.873 0.873 0.380
Pm 0.127 0.127 0.620
Pm 0.622 0.622 0.135
Pm 0.378 0.378 0.865

Total DFT energy (no corrections) ... -31.6 eV for the cell shown
DFT formation energy ... -3.3 eV per formula unit
Space-group type ... R-3m (166)


[17]
Compound: PmGa4Au6
Source: the Alexandria database
Functional: GGA-PBE
Structure: optimized geometry

a = 6.791 Å, b = 6.791 Å, c = 6.791 Å
α = 93.96°, β = 117.74°, γ = 117.74°
Fractional coordinates of all 11 atoms:
Pm 0.000 0.000 0.000
Ga 0.000 0.138 0.560
Ga 0.577 0.440 0.440
Ga 0.000 0.560 0.138
Ga 0.423 0.862 0.862
Au 0.000 0.783 0.469
Au 0.000 0.469 0.783
Au 0.686 0.217 0.217
Au 0.500 0.000 0.500
Au 0.314 0.531 0.531
Au 0.500 0.500 0.000

Total DFT energy (no corrections) ... -39.9 eV for the cell shown
DFT formation energy ... -3.4 eV per formula unit
Space-group type ... I-42m (121)


[18]
Compound: Pm6Ga5Au
Source: the Alexandria database
Functional: GGA-PBE
Structure: optimized geometry

a = 5.187 Å, b = 7.416 Å, c = 8.217 Å
α = 90.00°, β = 71.53°, γ = 90.00°
Fractional coordinates of all 12 atoms:
Au 0.000 0.000 0.000
Ga 0.666 0.500 0.667
Ga 0.334 0.000 0.333
Ga 0.000 0.500 0.000
Ga 0.666 0.000 0.667
Ga 0.334 0.500 0.333
Pm 0.834 0.749 0.333
Pm 0.834 0.251 0.333
Pm 0.500 0.250 0.000
Pm 0.500 0.750 0.000
Pm 0.166 0.749 0.667
Pm 0.166 0.251 0.667

Total DFT energy (no corrections) ... -53.9 eV for the cell shown
DFT formation energy ... -7.0 eV per formula unit
Space-group type ... P2/m (10)


[19]
Compound: PmGa2Au
Source: the Alexandria database
Functional: GGA-PBE
Structure: optimized geometry

a = 4.616 Å, b = 5.734 Å, c = 6.714 Å
α = 90.00°, β = 90.00°, γ = 113.74°
Fractional coordinates of all 8 atoms:
Pm 0.905 0.810 0.250
Pm 0.095 0.190 0.750
Ga 0.381 0.761 0.948
Ga 0.619 0.239 0.052
Ga 0.619 0.239 0.448
Ga 0.381 0.761 0.552
Au 0.199 0.399 0.250
Au 0.801 0.601 0.750

Total DFT energy (no corrections) ... -33.6 eV for the cell shown
DFT formation energy ... -2.7 eV per formula unit
Space-group type ... Cmcm (63)


[20]
Compound: Pm6GaAu2
Source: the Alexandria database
Functional: GGA-PBE
Structure: optimized geometry

a = 5.004 Å, b = 7.234 Å, c = 8.892 Å
α = 114.00°, β = 106.43°, γ = 90.00°
Fractional coordinates of all 9 atoms:
Pm 0.165 0.413 0.331
Pm 0.835 0.082 0.669
Pm 0.835 0.587 0.669
Pm 0.500 0.252 0.000
Pm 0.165 0.918 0.331
Pm 0.500 0.748 0.000
Ga 0.000 0.000 0.000
Au 0.668 0.668 0.336
Au 0.332 0.332 0.664

Total DFT energy (no corrections) ... -41.1 eV for the cell shown
DFT formation energy ... -3.0 eV per formula unit
Space-group type ... C2/m (12)